# Tb4N PBE-GGA optimized geometry
data_Tb4N
_chemical_formula_sum 'Tb4 N1'
_symmetry_space_group_name_H-M 'P m -3 m'
_symmetry_Int_Tables_number 221
_symmetry_space_group_name_Hall '-P 4 2 3'
_cell_length_a 4.988
_cell_length_b 4.988
_cell_length_c 4.988
_cell_angle_alpha 90.00
_cell_angle_beta 90.00
_cell_angle_gamma 90.00
loop_
_atom_site_label
_atom_site_fract_x
_atom_site_fract_y
_atom_site_fract_z
Tb1 0.000 0.000 0.000
Tb2 0.000 0.500 0.500
N1 0.500 0.500 0.500
# total moment = 0.003 μB per formula unit
# VASP energy = -5.8787 eV/atom
# ΔE_f (raw) = -0.51 eV per atom